1.
Computed, not measured: a relaxed structure of Nd2DyTh at the PBE-GGA level of DFT.

Unit cell a=3.6215 b=3.6215 c=10.2648 alpha=90.00 beta=90.00 gamma=90.00
Fractional coordinates of all 4 atoms:
Nd 0.0000 0.0000 0.2437
Nd 0.0000 0.0000 0.7563
Dy 0.5000 0.5000 0.5000
Th 0.5000 0.5000 0.0000

Summary:
**ρ**: 8.42 Mg/m³
**Space-group type**: P4/mmm

***

2.
Computed, not measured: a relaxed structure of Nd2DyTh at the PBE-GGA level of DFT.

Unit cell a=5.1091 b=5.1091 c=5.1220 alpha=90.00 beta=90.00 gamma=90.00
Fractional coordinates of all 4 atoms:
Nd 0.0000 0.5000 0.0000
Nd 0.5000 0.0000 0.0000
Dy 0.0000 0.0000 0.5000
Th 0.5000 0.5000 0.5000

Summary:
**ρ**: 8.48 Mg/m³
**Space-group type**: P4/mmm

***

Which is most stable? The ranking, best first, is 1, 2.